Compound: Nd2YThP4
Source: Alexandria via LeMat-Bulk
Functional: GGA-PBE
Structure: relaxed

Calculated values
Space-group type = P2/m, No. 10
Calculated formation energy = -12.70 eV/f.u.

Cell: 7.128 4.129 7.154 Å, 90.00 109.43 90.00°
Element x y z (fractional)
Nd 0.000 0.000 0.000
Nd 0.500 0.500 0.000
Y 0.000 0.500 0.500
Th 0.500 0.000 0.500
P 0.246 0.000 0.742
P 0.250 0.500 0.256
P 0.750 0.500 0.744
P 0.754 0.000 0.258